VASP calculation (PBE) on crystalline Zr2FeCo at its relaxed geometry.

Values from the calculation:
size of the total moment = 1.09 μB/f.u.
space-group type = P4/mmm, No. 123
offset from the most stable computed form = 2 meV per atom
DFT formation energy = -0.2378 eV/atom

Cell lengths 7.1263, 4.5062, 3.1887 Å; angles 90.04, 63.40, 129.24 degrees
With the nearest neighbours (Å) after each atom.
Atoms (fractional coordinates):
Co: 0.0000 0.5000 0.5000  8 Zr 2.76
Fe: 0.5000 0.5000 0.0000  8 Zr 2.76
Zr: 0.0000 0.0000 0.0000  4 Co 2.76, 4 Fe 2.76
Zr: 0.5000 0.0000 0.5000  4 Fe 2.76, 4 Co 2.76